Density functional theory data (PBE) for an optimized crystal structure of Li2MgZn8.

```
Li2MgZn8
1.0
-2.0506 4.2106 5.2725
2.0506 -4.2106 5.2725
2.0506 4.2106 -5.2725
Li Mg Zn
2 1 8
Direct
0.1446 0.1446 0.0000
0.8554 0.8554 0.0000
0.5000 0.5000 0.0000
0.0759 0.3374 0.7385
0.2699 0.0000 0.2699
0.3143 0.8143 0.5000
0.4011 0.6626 0.7385
0.5989 0.3374 0.2615
0.6857 0.1857 0.5000
0.7301 0.0000 0.7301
0.9241 0.6626 0.2615
```

Summary:
The mass density is 5.12 g/cm3. The magnetic moment comes out at 0.0 μB/cell. Its formation energy is -0.044 eV per atom. As for the space-group type: Immm (71).

=====

Density functional theory data (PBE) for an optimized crystal structure of LiMg3Zn3.

```
LiMg3Zn3
1.0
4.5187 -4.6317 0.0000
4.5187 4.6317 0.0000
0.0000 0.0000 6.2272
Li Mg Zn
2 6 6
Direct
0.2452 0.7548 0.0000
0.7548 0.2452 0.0000
0.2557 0.2557 0.5000
0.2578 0.7422 0.5000
0.2972 0.2972 0.0000
0.7028 0.7028 0.0000
0.7422 0.2578 0.5000
0.7443 0.7443 0.5000
0.0000 0.0000 0.2238
0.0000 0.0000 0.7762
0.0000 0.5000 0.2325
0.0000 0.5000 0.7675
0.5000 0.0000 0.2325
0.5000 0.0000 0.7675
```

Summary:
The mass density is 3.52 g/cm3. The magnetic moment comes out at 0.0 μB/cell. Its formation energy is -0.069 eV per atom. As for the space-group type: Cmmm (65).

=====

Density functional theory data (PBE) for an optimized crystal structure of Li2MgZn2.

```
Li2MgZn2
1.0
7.2924 0.0000 0.0000
0.0000 7.2924 0.0000
0.0000 0.0000 3.0397
Li Mg Zn
4 2 4
Direct
0.1306 0.3694 0.0000
0.3694 0.8694 0.0000
0.6306 0.1306 0.0000
0.8694 0.6306 0.0000
0.0000 0.0000 0.0000
0.5000 0.5000 0.0000
0.1623 0.6623 0.5000
0.3377 0.1623 0.5000
0.6623 0.8377 0.5000
0.8377 0.3377 0.5000
```

Summary:
The mass density is 3.47 g/cm3. The magnetic moment comes out at 0.0 μB/cell. Its formation energy is -0.097 eV per atom. As for the space-group type: P4/mbm (127).

=====

Density functional theory data (PBE) for an optimized crystal structure of Li2Mg5Zn2.

```
Li2Mg5Zn2
1.0
7.4073 -1.4878 0.0000
7.4073 1.4878 0.0000
-7.3400 0.0000 8.4735
Li Mg Zn
2 5 2
Direct
0.1226 0.1226 0.0672
0.8774 0.8774 0.9328
0.1129 0.1129 0.3385
0.1554 0.1554 0.8397
0.5000 0.5000 0.5000
0.8446 0.8446 0.1603
0.8871 0.8871 0.6615
0.2211 0.2211 0.6603
0.7789 0.7789 0.3397
```

Summary:
The mass density is 2.37 g/cm3. The magnetic moment comes out at 0.0 μB/cell. Its formation energy is 0.011 eV per atom. As for the space-group type: C2/m (12).

=====

Density functional theory data (PBE) for an optimized crystal structure of Li8Mg3Zn.

```
Li8Mg3Zn
1.0
-3.7417 3.7417 4.9086
3.7417 -3.7417 4.9086
3.7417 3.7417 -4.9086
Li Mg Zn
8 3 1
Direct
0.1426 0.1426 0.7419
0.2335 0.7031 0.0000
0.2969 0.2969 0.5304
0.4007 0.4007 0.2581
0.5993 0.8574 0.0000
0.7031 0.2335 0.0000
0.7665 0.7665 0.4696
0.8574 0.5993 0.0000
0.0000 0.0000 0.0000
0.2500 0.7500 0.5000
0.7500 0.2500 0.5000
0.5000 0.5000 0.0000
```

Summary:
The mass density is 1.17 g/cm3. The magnetic moment comes out at 0.0 μB/cell. Its formation energy is 0.180 eV per atom. As for the space-group type: I-42m (121).

=====

Density functional theory data (PBE) for an optimized crystal structure of Li9MgZn2.

```
Li9MgZn2
1.0
9.3411 0.0000 0.0000
-4.6706 8.0896 0.0000
0.0000 0.0000 2.8778
Li Mg Zn
9 1 2
Direct
0.0000 0.5000 0.0000
0.1784 0.3567 0.5000
0.1784 0.8216 0.5000
0.3567 0.1784 0.5000
0.5000 0.0000 0.0000
0.5000 0.5000 0.0000
0.6433 0.8216 0.5000
0.8216 0.1784 0.5000
0.8216 0.6433 0.5000
0.0000 0.0000 0.0000
0.3333 0.6667 0.0000
0.6667 0.3333 0.0000
```

Summary:
The mass density is 1.66 g/cm3. The magnetic moment comes out at 0.0 μB/cell. Its formation energy is -0.043 eV per atom. As for the space-group type: P6/mmm (191).

=====

Density functional theory data (PBE) for an optimized crystal structure of Li6MgZn8.

```
Li6MgZn8
1.0
3.6794 2.1243 5.2971
-3.6794 2.1243 5.2971
0.0000 -4.2486 5.2971
Li Mg Zn
6 1 8
Direct
0.1286 0.3793 0.6203
0.3793 0.6203 0.1286
0.3797 0.8714 0.6207
0.6203 0.1286 0.3793
0.6207 0.3797 0.8714
0.8714 0.6207 0.3797
0.0000 0.0000 0.0000
0.1272 0.8260 0.4285
0.1740 0.5715 0.8728
0.2339 0.2339 0.2339
0.4285 0.1272 0.8260
0.5715 0.8728 0.1740
0.7661 0.7661 0.7661
0.8260 0.4285 0.1272
0.8728 0.1740 0.5715
```

Summary:
The mass density is 3.94 g/cm3. The magnetic moment comes out at 0.0 μB/cell. Its formation energy is -0.066 eV per atom. As for the space-group type: R-3 (148).

=====

Density functional theory data (PBE) for an optimized crystal structure of LiMg6Zn2.

```
LiMg6Zn2
1.0
6.9723 0.0000 0.0000
0.0000 6.9723 0.0000
0.0000 0.0000 9.2280
Li Mg Zn
2 12 4
Direct
0.0000 0.0000 0.0000
0.5000 0.5000 0.5000
0.2011 0.2011 0.5000
0.2426 0.2426 0.1657
0.2426 0.2426 0.8343
0.2574 0.7426 0.3343
0.2574 0.7426 0.6657
0.2989 0.7011 0.0000
0.7011 0.2989 0.0000
0.7426 0.2574 0.3343
0.7426 0.2574 0.6657
0.7574 0.7574 0.1657
0.7574 0.7574 0.8343
0.7989 0.7989 0.5000
0.0000 0.0000 0.2855
0.0000 0.0000 0.7145
0.5000 0.5000 0.2145
0.5000 0.5000 0.7855
```

Summary:
The mass density is 2.10 g/cm3. The magnetic moment comes out at 0.0 μB/cell. Its formation energy is 0.189 eV per atom. As for the space-group type: P4_2/mnm (136).

=====

Density functional theory data (PBE) for an optimized crystal structure of Li4MgZn3.

```
Li4MgZn3
1.0
9.1822 -1.6389 0.0000
9.1822 1.6389 0.0000
-1.0225 0.0000 4.3633
Li Mg Zn
4 1 3
Direct
0.1194 0.1194 0.1165
0.2527 0.2527 0.7523
0.7473 0.7473 0.2477
0.8806 0.8806 0.8835
0.0000 0.0000 0.5000
0.3658 0.3658 0.3677
0.5000 0.5000 0.0000
0.6342 0.6342 0.6323
```

Summary:
The mass density is 3.14 g/cm3. The magnetic moment comes out at 0.0 μB/cell. Its formation energy is -0.120 eV per atom. As for the space-group type: C2/m (12).

=====

Density functional theory data (PBE) for an optimized crystal structure of Li2Mg3Zn7.

```
Li2Mg3Zn7
1.0
2.5715 1.4846 8.7525
-2.5715 1.4846 8.7525
0.0000 -2.9693 8.7525
Li Mg Zn
2 3 7
Direct
0.1674 0.1674 0.1674
0.8326 0.8326 0.8326
0.3558 0.3558 0.3558
0.5000 0.5000 0.5000
0.6442 0.6442 0.6442
0.0000 0.0000 0.0000
0.0843 0.0843 0.5811
0.0843 0.5811 0.0843
0.4189 0.9157 0.9157
0.5811 0.0843 0.0843
0.9157 0.4189 0.9157
0.9157 0.9157 0.4189
```

Summary:
The mass density is 4.51 g/cm3. The magnetic moment comes out at 0.0 μB/cell. Its formation energy is -0.114 eV per atom. As for the space-group type: R-3m (166).

=====

Density functional theory data (PBE) for an optimized crystal structure of Li4MgZn3.

```
Li4MgZn3
1.0
9.1314 0.0000 0.0000
0.0000 5.6153 0.0000
0.0000 0.0000 5.0863
Li Mg Zn
8 2 6
Direct
0.0000 0.2364 0.0000
0.0000 0.7636 0.0000
0.2500 0.2359 0.2994
0.2500 0.7641 0.2994
0.5000 0.2364 0.0000
0.5000 0.7636 0.0000
0.7500 0.2359 0.7006
0.7500 0.7641 0.7006
0.0000 0.5000 0.5000
0.5000 0.5000 0.5000
0.0000 0.0000 0.5000
0.2500 0.0000 0.7865
0.2500 0.5000 0.8399
0.5000 0.0000 0.5000
0.7500 0.0000 0.2135
0.7500 0.5000 0.1601
```

Summary:
The mass density is 3.16 g/cm3. The magnetic moment comes out at 0.0 μB/cell. Its formation energy is -0.118 eV per atom. As for the space-group type: Pmma (51).

=====

Density functional theory data (PBE) for an optimized crystal structure of Li3Mg3Zn.

```
Li3Mg3Zn
1.0
8.1317 0.0000 0.0000
-4.0659 7.0423 0.0000
0.0000 0.0000 4.7688
Li Mg Zn
6 6 2
Direct
0.1065 0.5533 0.2500
0.4467 0.5533 0.2500
0.4467 0.8935 0.2500
0.5533 0.1065 0.7500
0.5533 0.4467 0.7500
0.8935 0.4467 0.7500
0.1378 0.2756 0.7500
0.1378 0.8622 0.7500
0.2756 0.1378 0.2500
0.7244 0.8622 0.7500
0.8622 0.1378 0.2500
0.8622 0.7244 0.2500
0.3333 0.6667 0.7500
0.6667 0.3333 0.2500
```

Summary:
The mass density is 1.94 g/cm3. The magnetic moment comes out at 0.0 μB/cell. Its formation energy is -0.056 eV per atom. As for the space-group type: P6_3/mmc (194).